Entry 1:
Below is K2YNi after structural relaxation, with properties calculated at the PBE level.

Cell lengths 12.221, 12.221, 5.014 Å; angles 90.00, 90.00, 90.00 degrees
Sites, in units of the cell vectors:
K (0.109, 0.250, 0.125)
K (0.250, 0.609, 0.375)
K (0.250, 0.891, 0.875)
K (0.391, 0.250, 0.625)
K (0.609, 0.750, 0.625)
K (0.750, 0.109, 0.875)
K (0.750, 0.391, 0.375)
K (0.891, 0.750, 0.125)
Y (0.000, 0.000, 0.500)
Y (0.000, 0.500, 0.750)
Y (0.500, 0.000, 0.250)
Y (0.500, 0.500, 0.000)
Ni (0.000, 0.000, 0.000)
Ni (0.000, 0.500, 0.250)
Ni (0.500, 0.000, 0.750)
Ni (0.500, 0.500, 0.500)

Computed properties:
**Total energy**: -3.01 eV per atom
**E_form**: 2.41 eV/f.u.
**Energy above the most stable polymorph in this dataset**: 1.76 eV/f.u.
**Symmetry**: I-42d

---

Entry 2:
Below is La3Ge2Au4 after structural relaxation, with properties calculated at the PBE level.

Cell lengths 6.098, 6.098, 9.013 Å; angles 108.56, 108.56, 44.12 degrees
Sites, in units of the cell vectors:
La (0.000, 0.000, 0.000)
La (0.335, 0.335, 0.335)
La (0.665, 0.665, 0.665)
Ge (0.392, 0.392, 0.721)
Ge (0.608, 0.608, 0.279)
Au (0.059, 0.059, 0.387)
Au (0.285, 0.285, 0.938)
Au (0.715, 0.715, 0.062)
Au (0.941, 0.941, 0.613)

Computed properties:
**Total energy**: -4.98 eV per atom
**E_form**: -7.66 eV/f.u.
**Symmetry**: C2/m

---

Entry 3:
Below is TbAl4CuPt2 after structural relaxation, with properties calculated at the PBE level.

Cell lengths 8.989, 8.989, 8.989 Å; angles 27.40, 27.40, 27.40 degrees
Sites, in units of the cell vectors:
Tb (0.000, 0.000, 0.000)
Al (0.133, 0.133, 0.133)
Al (0.403, 0.403, 0.403)
Al (0.597, 0.597, 0.597)
Al (0.867, 0.867, 0.867)
Cu (0.500, 0.500, 0.500)
Pt (0.238, 0.238, 0.238)
Pt (0.762, 0.762, 0.762)

Computed properties:
**Total energy**: -5.23 eV per atom
**E_form**: -6.10 eV/f.u.
**Symmetry**: R-3m

---

Entry 4:
Below is Li3Zr2CuSe6 after structural relaxation, with properties calculated at the PBE level.

Cell lengths 6.663, 6.663, 6.783 Å; angles 99.51, 99.51, 119.97 degrees
Sites, in units of the cell vectors:
Li (0.000, 0.000, 0.000)
Li (0.330, 0.670, 0.000)
Li (0.670, 0.330, 0.000)
Zr (0.166, 0.834, 0.500)
Zr (0.834, 0.166, 0.500)
Cu (0.500, 0.500, 0.500)
Se (0.086, 0.419, 0.258)
Se (0.246, 0.246, 0.745)
Se (0.419, 0.086, 0.258)
Se (0.581, 0.914, 0.742)
Se (0.754, 0.754, 0.255)
Se (0.914, 0.581, 0.742)

Computed properties:
**Total energy**: -5.10 eV per atom
**E_form (uncorrected)**: -1.116 eV/atom
**Symmetry**: C2/m